Entry i
# meta-GGA SCAN LaRe3, single point on PBEsol structure
data_LaRe3
_space_group_name_H-M_alt 'P m -3 m'
_space_group_IT_number 221
_space_group_name_Hall '-P 4 2 3'
_cell_length_a 4.7847
_cell_length_b 4.7847
_cell_length_c 4.7847
_cell_angle_alpha 90.00
_cell_angle_beta 90.00
_cell_angle_gamma 90.00
loop_
_atom_site_label
_atom_site_type_symbol
_atom_site_fract_x
_atom_site_fract_y
_atom_site_fract_z
La1 La 0.0000 0.0000 0.0000
Re1 Re 0.0000 0.0000 0.5000
# M_tot, Bohr magnetons per cell: 3.145
# Volume, Å³/cell: 109.5
# Crystal system: cubic



Entry ii
# meta-GGA SCAN LaRe3, single point on PBEsol structure
data_LaRe3
_space_group_name_H-M_alt 'R -3 m'
_space_group_IT_number 166
_space_group_name_Hall '-R 3 2"'
_cell_length_a 2.8229
_cell_length_b 2.8229
_cell_length_c 29.9559
_cell_angle_alpha 90.00
_cell_angle_beta 90.00
_cell_angle_gamma 120.00
loop_
_atom_site_label
_atom_site_type_symbol
_atom_site_fract_x
_atom_site_fract_y
_atom_site_fract_z
La1 La 0.0000 0.0000 0.0000
Re1 Re 0.0000 0.0000 0.2383
Re2 Re 0.0000 0.0000 0.5000
# M_tot, Bohr magnetons per cell: 0.000
# Volume, Å³/cell: 206.7
# Crystal system: trigonal



Most stable structure, least stable structure: entry ii, entry i.



Entry i
# meta-GGA SCAN LaRe3, single point on PBEsol structure
data_LaRe3
_space_group_name_H-M_alt 'P 4/m m m'
_space_group_IT_number 123
_space_group_name_Hall '-P 4 2'
_cell_length_a 4.7224
_cell_length_b 4.7224
_cell_length_c 3.1285
_cell_angle_alpha 90.00
_cell_angle_beta 90.00
_cell_angle_gamma 90.00
loop_
_atom_site_label
_atom_site_type_symbol
_atom_site_fract_x
_atom_site_fract_y
_atom_site_fract_z
La1 La 0.0000 0.0000 0.0000
Re1 Re 0.0000 0.5000 0.5000
Re2 Re 0.5000 0.5000 0.0000
# M_tot, Bohr magnetons per cell: 0.000
# Volume, Å³/cell: 69.8
# Crystal system: tetragonal



Entry ii
# meta-GGA SCAN LaRe3, single point on PBEsol structure
data_LaRe3
_space_group_name_H-M_alt 'P 4/m m m'
_space_group_IT_number 123
_space_group_name_Hall '-P 4 2'
_cell_length_a 3.0572
_cell_length_b 3.0572
_cell_length_c 7.7297
_cell_angle_alpha 90.00
_cell_angle_beta 90.00
_cell_angle_gamma 90.00
loop_
_atom_site_label
_atom_site_type_symbol
_atom_site_fract_x
_atom_site_fract_y
_atom_site_fract_z
La1 La 0.0000 0.0000 0.0000
Re1 Re 0.0000 0.0000 0.5000
Re2 Re 0.5000 0.5000 0.3048
# M_tot, Bohr magnetons per cell: 0.000
# Volume, Å³/cell: 72.2
# Crystal system: tetragonal



Most stable structure, least stable structure: entry ii, entry i.



Entry i
# meta-GGA SCAN LaReRh2, single point on PBEsol structure
data_LaReRh2
_space_group_name_H-M_alt 'P 4/m m m'
_space_group_IT_number 123
_space_group_name_Hall '-P 4 2'
_cell_length_a 2.8771
_cell_length_b 2.8771
_cell_length_c 8.1600
_cell_angle_alpha 90.00
_cell_angle_beta 90.00
_cell_angle_gamma 90.00
loop_
_atom_site_label
_atom_site_type_symbol
_atom_site_fract_x
_atom_site_fract_y
_atom_site_fract_z
La1 La 0.0000 0.0000 0.0000
Re1 Re 0.0000 0.0000 0.5000
Rh1 Rh 0.5000 0.5000 0.2917
# M_tot, Bohr magnetons per cell: 0.000
# Volume, Å³/cell: 67.5
# Crystal system: tetragonal



Entry ii
# meta-GGA SCAN LaReRh2, single point on PBEsol structure
data_LaReRh2
_space_group_name_H-M_alt 'F -4 3 m'
_space_group_IT_number 216
_space_group_name_Hall 'F -4 2 3'
_cell_length_a 6.4672
_cell_length_b 6.4672
_cell_length_c 6.4672
_cell_angle_alpha 90.00
_cell_angle_beta 90.00
_cell_angle_gamma 90.00
loop_
_atom_site_label
_atom_site_type_symbol
_atom_site_fract_x
_atom_site_fract_y
_atom_site_fract_z
La1 La 0.0000 0.0000 0.0000
Re1 Re 0.2500 0.2500 0.7500
Rh1 Rh 0.0000 0.0000 0.5000
Rh2 Rh 0.2500 0.2500 0.2500
# M_tot, Bohr magnetons per cell: 0.007
# Volume, Å³/cell: 270.5
# Crystal system: cubic



Most stable structure, least stable structure: entry i, entry ii.



Entry i
# meta-GGA SCAN LaReRh2, single point on PBEsol structure
data_LaReRh2
_space_group_name_H-M_alt 'I 4/m m m'
_space_group_IT_number 139
_space_group_name_Hall '-I 4 2'
_cell_length_a 4.1973
_cell_length_b 4.1973
_cell_length_c 7.7591
_cell_angle_alpha 90.00
_cell_angle_beta 90.00
_cell_angle_gamma 90.00
loop_
_atom_site_label
_atom_site_type_symbol
_atom_site_fract_x
_atom_site_fract_y
_atom_site_fract_z
La1 La 0.0000 0.0000 0.0000
Re1 Re 0.0000 0.0000 0.5000
Rh1 Rh 0.0000 0.5000 0.2500
# M_tot, Bohr magnetons per cell: 0.001
# Volume, Å³/cell: 136.7
# Crystal system: tetragonal



Entry ii
# meta-GGA SCAN LaReRh2, single point on PBEsol structure
data_LaReRh2
_space_group_name_H-M_alt 'R -3 m'
_space_group_IT_number 166
_space_group_name_Hall '-R 3 2"'
_cell_length_a 2.8301
_cell_length_b 2.8301
_cell_length_c 28.6446
_cell_angle_alpha 90.00
_cell_angle_beta 90.00
_cell_angle_gamma 120.00
loop_
_atom_site_label
_atom_site_type_symbol
_atom_site_fract_x
_atom_site_fract_y
_atom_site_fract_z
La1 La 0.0000 0.0000 0.0000
Re1 Re 0.0000 0.0000 0.5000
Rh1 Rh 0.0000 0.0000 0.2398
# M_tot, Bohr magnetons per cell: 0.000
# Volume, Å³/cell: 198.7
# Crystal system: trigonal



Most stable structure, least stable structure: entry i, entry ii.



Entry i
# meta-GGA SCAN LaRe2Ru, single point on PBEsol structure
data_LaRe2Ru
_space_group_name_H-M_alt 'I 4/m m m'
_space_group_IT_number 139
_space_group_name_Hall '-I 4 2'
_cell_length_a 4.5746
_cell_length_b 4.5746
_cell_length_c 6.4468
_cell_angle_alpha 90.00
_cell_angle_beta 90.00
_cell_angle_gamma 90.00
loop_
_atom_site_label
_atom_site_type_symbol
_atom_site_fract_x
_atom_site_fract_y
_atom_site_fract_z
La1 La 0.0000 0.0000 0.0000
Re1 Re 0.0000 0.5000 0.2500
Ru1 Ru 0.0000 0.0000 0.5000
# M_tot, Bohr magnetons per cell: 0.052
# Volume, Å³/cell: 134.9
# Crystal system: tetragonal



Entry ii
# meta-GGA SCAN LaRe2Ru, single point on PBEsol structure
data_LaRe2Ru
_space_group_name_H-M_alt 'C 1 2/m 1'
_space_group_IT_number 12
_cell_length_a 5.3443
_cell_length_b 9.5994
_cell_length_c 2.7945
_cell_angle_alpha 90.00
_cell_angle_beta 108.40
_cell_angle_gamma 90.00
loop_
_space_group_symop_operation_xyz
'x,y,z'
'-x,-y,-z'
'-x,y,-z'
'x,-y,z'
'x+1/2,y+1/2,z'
'-x+1/2,-y+1/2,-z'
'-x+1/2,y+1/2,-z'
'x+1/2,-y+1/2,z'
loop_
_atom_site_label
_atom_site_type_symbol
_atom_site_fract_x
_atom_site_fract_y
_atom_site_fract_z
La1 La 0.0000 0.0000 0.0000
Re1 Re 0.2500 0.2500 0.5000
Ru1 Ru 0.0000 0.5000 0.0000
# M_tot, Bohr magnetons per cell: 0.000
# Volume, Å³/cell: 136.0
# Crystal system: monoclinic



Most stable structure, least stable structure: entry ii, entry i.



Entry i
# meta-GGA SCAN La2ScRe, single point on PBEsol structure
data_La2ScRe
_space_group_name_H-M_alt 'F -4 3 m'
_space_group_IT_number 216
_space_group_name_Hall 'F -4 2 3'
_cell_length_a 7.1363
_cell_length_b 7.1363
_cell_length_c 7.1363
_cell_angle_alpha 90.00
_cell_angle_beta 90.00
_cell_angle_gamma 90.00
loop_
_atom_site_label
_atom_site_type_symbol
_atom_site_fract_x
_atom_site_fract_y
_atom_site_fract_z
La1 La 0.0000 0.0000 0.0000
La2 La 0.2500 0.2500 0.2500
Sc1 Sc 0.2500 0.2500 0.7500
Re1 Re 0.0000 0.0000 0.5000
# M_tot, Bohr magnetons per cell: 0.000
# Volume, Å³/cell: 363.4
# Crystal system: cubic



Entry ii
# meta-GGA SCAN La2ScRe, single point on PBEsol structure
data_La2ScRe
_space_group_name_H-M_alt 'P 4/m m m'
_space_group_IT_number 123
_space_group_name_Hall '-P 4 2'
_cell_length_a 3.5250
_cell_length_b 3.5250
_cell_length_c 8.0050
_cell_angle_alpha 90.00
_cell_angle_beta 90.00
_cell_angle_gamma 90.00
loop_
_atom_site_label
_atom_site_type_symbol
_atom_site_fract_x
_atom_site_fract_y
_atom_site_fract_z
La1 La 0.0000 0.0000 0.2150
Sc1 Sc 0.5000 0.5000 0.5000
Re1 Re 0.5000 0.5000 0.0000
# M_tot, Bohr magnetons per cell: 0.000
# Volume, Å³/cell: 99.5
# Crystal system: tetragonal



Most stable structure, least stable structure: entry ii, entry i.